First-principles (PBE-GGA) data for a relaxed structure of HfNiB3, as listed in Alexandria via LeMat-Bulk.

POSCAR file:
```
HfNiB3
1.0
-1.948 -0.130 3.842
2.018 -3.701 0.899
3.272 2.205 1.734
Ni B Hf
1 3 1
Cartesian
1.671 -0.813 3.237
1.009 -1.850 0.449
1.636 1.102 0.867
-0.974 -0.065 1.921
0.000 0.000 0.000
```

Space-group type = No. 221
Energy = -5.119 eV/atom
Crystal system = cubic